VASP calculation (PBE) on crystalline CuSiAg2 at its relaxed geometry.

Properties
Formation energy from raw total energies in meV/atom: 232.5
Space-group type: Cmmm
Spin magnetization in μB/f.u.: 0.000
Uncorrected energy in eV for the cell shown: -14.29

a = 4.8466 Å, b = 4.8466 Å, c = 2.8682 Å
α = 90.00°, β = 90.00°, γ = 110.22°
Fractional positions:
Cu1 0.0000 0.0000 0.0000
Si1 0.5000 0.5000 0.0000
Ag1 0.0000 0.5000 0.5000
Ag2 0.5000 0.0000 0.5000

VASP calculation (PBE) on crystalline Li2CuNi at its relaxed geometry.

Properties
Energy relative to the elements in meV per atom: -2
Space-group type: Pm
Energy above the lowest structure with this stoichiometry in kJ/mol of atoms: 1.1
Spin magnetization in μB/f.u.: 0.000
Uncorrected energy in eV for the cell shown: -13.71

a = 2.4870 Å, b = 3.9208 Å, c = 5.1125 Å
α = 90.00°, β = 99.41°, γ = 90.00°
Fractional positions:
Li1 0.0000 0.0000 0.0000
Li2 0.4467 0.5000 0.2671
Cu1 0.4814 0.5000 0.7373
Ni1 0.9467 0.0000 0.5194

VASP calculation (PBE) on crystalline Pm5Cd4Cu at its relaxed geometry.

Properties
Energy relative to the elements in meV per atom: -279
Space-group type: P4/mmm
Spin magnetization in μB/f.u.: 0.614
Uncorrected energy in eV for the cell shown: -34.30

a = 3.7397 Å, b = 3.7397 Å, c = 19.3502 Å
α = 90.00°, β = 90.00°, γ = 90.00°
Fractional positions:
Pm1 0.0000 0.0000 0.0000
Pm2 0.0000 0.0000 0.2061
Pm3 0.0000 0.0000 0.4133
Pm4 0.0000 0.0000 0.5867
Pm5 0.0000 0.0000 0.7939
Cd1 0.5000 0.5000 0.1029
Cd2 0.5000 0.5000 0.3080
Cd3 0.5000 0.5000 0.6920
Cd4 0.5000 0.5000 0.8971
Cu1 0.5000 0.5000 0.5000

VASP calculation (PBE) on crystalline ScBeFe2 at its relaxed geometry.

Properties
Energy relative to the elements in meV per atom: 44
Space-group type: P4/mmm
Spin magnetization in μB/f.u.: 2.769
Uncorrected energy in eV for the cell shown: -26.81

a = 3.7288 Å, b = 3.7288 Å, c = 3.6200 Å
α = 90.00°, β = 90.00°, γ = 90.00°
Fractional positions:
Sc1 0.0000 0.0000 0.0000
Be1 0.5000 0.5000 0.0000
Fe1 0.0000 0.5000 0.5000
Fe2 0.5000 0.0000 0.5000

VASP calculation (PBE) on crystalline La2CrTc at its relaxed geometry.

Properties
Energy relative to the elements in meV per atom: 249
Space-group type: P4mm
Energy above the lowest structure with this stoichiometry in kJ/mol of atoms: 0.0
Spin magnetization in μB/f.u.: 0.001
Uncorrected energy in eV for the cell shown: -28.85

a = 3.1702 Å, b = 3.1702 Å, c = 9.1260 Å
α = 90.00°, β = 90.00°, γ = 90.00°
Fractional positions:
La1 0.0000 0.0000 0.0000
La2 0.5000 0.5000 0.3870
Cr1 0.5000 0.5000 0.7581
Tc1 0.0000 0.0000 0.6306

VASP calculation (PBE) on crystalline La2RuBr at its relaxed geometry.

Properties
Formation energy from raw total energies in meV/atom: -908.7
Space-group type: C2/m
Energy above the lowest structure with this stoichiometry in kJ/mol of atoms: 0.0
Spin magnetization in μB/f.u.: 0.000
Uncorrected energy in eV for the cell shown: -24.44

a = 4.1741 Å, b = 4.1741 Å, c = 8.2364 Å
α = 104.62°, β = 104.62°, γ = 59.96°
Fractional positions:
La1 0.2315 0.2315 0.1950
La2 0.7685 0.7685 0.8050
Ru1 0.5000 0.5000 0.0000
Br1 0.0000 0.0000 0.5000